1.
A plane-wave DFT calculation with PBE was carried out for a relaxed structure of SnP.

Output
SG: P4/mmm, No. 123
ΔE_f in eV per atom: -0.01
Fermi-level density of states in states/eV/cell: 0.23
Volume in Å³ per atom: 23.501
Final energy in eV per atom: -4.72

```
SnP
1.0
3.937 0.000 0.000
0.000 3.937 0.000
0.000 0.000 6.064
Sn P
2 2
direct
0.000 0.000 0.245
0.000 0.000 0.755
0.500 0.500 0.321
0.500 0.500 0.679
```

=====

2.
A plane-wave DFT calculation with PBE was carried out for a relaxed structure of Er2CdO.

Output
SG: R-3m, No. 166
ΔE_f (raw) in meV per atom: -1171
Fermi-level density of states in states/eV/cell: 2.01
Volume in Å³ per atom: 22.621
Final energy in eV per atom: -4.92

```
Er2CdO
1.0
1.716 0.991 8.873
-1.716 0.991 8.873
0.000 -1.981 8.873
Er Cd O
2 1 1
direct
0.117 0.117 0.117
0.883 0.883 0.883
0.000 0.000 0.000
0.500 0.500 0.500
```

=====

3.
A plane-wave DFT calculation with PBE was carried out for a relaxed structure of Hg2OsCl.

Output
SG: Cmmm, No. 65
ΔE_f (raw) in meV per atom: 687
Energy relative to the lowest polymorph listed for this composition in meV per atom: 204
Fermi-level density of states in states/eV/cell: 2.82
Volume in Å³ per atom: 19.930
Final energy in eV per atom: -2.73

```
Hg2OsCl
1.0
1.585 -2.719 0.000
1.585 2.719 0.000
0.000 0.000 9.248
Hg Os Cl
2 1 1
direct
0.000 0.000 0.246
0.000 0.000 0.754
0.500 0.500 0.000
0.500 0.500 0.500
```

=====

4.
A plane-wave DFT calculation with PBE was carried out for a relaxed structure of La2TaRh.

Output
SG: I-42d, No. 122
ΔE_f in eV per atom: 0.35
Energy relative to the lowest polymorph listed for this composition in meV per atom: 482
Fermi-level density of states in states/eV/cell: 10.04
Volume in Å³ per atom: 25.179
Final energy in eV per atom: -6.91

```
La2TaRh
1.0
-4.040 4.040 3.085
4.040 -4.040 3.085
4.040 4.040 -3.085
La Ta Rh
4 2 2
direct
0.089 0.625 0.964
0.375 0.339 0.464
0.661 0.125 0.036
0.875 0.911 0.536
0.250 0.750 0.500
0.500 0.500 0.000
0.000 0.000 0.000
0.750 0.250 0.500
```

=====

5.
A plane-wave DFT calculation with PBE was carried out for a relaxed structure of CsGaGe2Rh.

Output
SG: P4/mmm, No. 123
ΔE_f in eV per atom: 0.53
Fermi-level density of states in states/eV/cell: 4.33
Volume in Å³ per atom: 26.171
Final energy in eV per atom: -3.57

```
CsGaGe2Rh
1.0
5.143 0.000 0.000
0.000 5.143 0.000
0.000 0.000 4.948
Cs Ga Ge Rh
1 1 2 1
direct
0.000 0.000 0.000
0.500 0.500 0.500
0.000 0.500 0.500
0.500 0.000 0.500
0.500 0.500 0.000
```

=====

6.
A plane-wave DFT calculation with PBE was carried out for a relaxed structure of LiPtW2.

Output
SG: Cmm2, No. 35
ΔE_f in eV per atom: 0.05
Energy relative to the lowest polymorph listed for this composition in meV per atom: 20
Fermi-level density of states in states/eV/cell: 2.74
Volume in Å³ per atom: 15.624
Final energy in eV per atom: -8.42

```
LiPtW2
1.0
1.605 -2.196 0.000
1.605 2.196 0.000
0.000 0.000 8.864
Li Pt W
1 1 2
direct
0.000 0.000 0.000
0.500 0.500 0.767
0.000 0.000 0.517
0.500 0.500 0.268
```

=====

7.
A plane-wave DFT calculation with PBE was carried out for a relaxed structure of LiSb2As2.

Output
SG: P4/mbm, No. 127
ΔE_f (raw) in meV per atom: -1
Energy relative to the lowest polymorph listed for this composition in meV per atom: 0
Fermi-level density of states in states/eV/cell: 5.10
Volume in Å³ per atom: 24.066
Final energy in eV per atom: -3.89

```
LiSb2As2
1.0
7.821 0.000 0.000
0.000 7.821 0.000
0.000 0.000 3.935
Li Sb As
2 4 4
direct
0.000 0.000 0.000
0.500 0.500 0.000
0.161 0.339 0.500
0.339 0.839 0.500
0.661 0.161 0.500
0.839 0.661 0.500
0.168 0.668 0.000
0.332 0.168 0.000
0.668 0.832 0.000
0.832 0.332 0.000
```

=====

8.
A plane-wave DFT calculation with PBE was carried out for a relaxed structure of RbPuCl4.

Output
SG: C2/c, No. 15
ΔE_f (raw) in meV per atom: -1896
Energy relative to the lowest polymorph listed for this composition in meV per atom: 42
Fermi-level density of states in states/eV/cell: 15.50
Volume in Å³ per atom: 33.048
Final energy in eV per atom: -5.68

```
RbPuCl4
1.0
4.823 -6.998 0.000
4.823 6.998 0.000
-3.621 0.000 5.875
Rb Pu Cl
2 2 8
direct
0.140 0.860 0.750
0.860 0.140 0.250
0.482 0.518 0.250
0.518 0.482 0.750
0.184 0.295 0.803
0.249 0.556 0.444
0.295 0.184 0.303
0.444 0.751 0.056
0.556 0.249 0.944
0.705 0.816 0.697
0.751 0.444 0.556
0.816 0.705 0.197
```

=====

9.
A plane-wave DFT calculation with PBE was carried out for a relaxed structure of NaAg2TeO4.

Output
SG: C2/c, No. 15
ΔE_f (raw) in meV per atom: -699
Fermi-level density of states in states/eV/cell: 1.45
Volume in Å³ per atom: 15.905
Final energy in eV per atom: -4.45

```
NaAg2TeO4
1.0
4.097 -5.586 0.000
4.097 5.586 0.000
-3.767 0.000 5.560
Na Ag Te O
2 4 2 8
direct
0.000 0.500 0.000
0.500 0.000 0.500
0.000 0.000 0.000
0.000 0.000 0.500
0.000 0.500 0.500
0.500 0.000 0.000
0.500 0.500 0.000
0.500 0.500 0.500
0.292 0.312 0.116
0.312 0.292 0.616
0.315 0.669 0.499
0.331 0.685 0.001
0.669 0.315 0.999
0.685 0.331 0.501
0.688 0.708 0.384
0.708 0.688 0.884
```

=====

10.
A plane-wave DFT calculation with PBE was carried out for a relaxed structure of CePaGe2.

Output
SG: Amm2, No. 38
ΔE_f in eV per atom: -0.54
Energy relative to the lowest polymorph listed for this composition in meV per atom: 20
Fermi-level density of states in states/eV/cell: 7.57
Volume in Å³ per atom: 23.810
Final energy in eV per atom: -6.70

```
CePaGe2
1.0
4.218 0.000 0.000
0.000 2.082 5.424
0.000 -2.082 5.424
Ce Pa Ge
1 1 2
direct
0.000 0.000 0.000
0.500 0.269 0.269
0.000 0.730 0.730
0.500 0.545 0.545
```

=====

11.
A plane-wave DFT calculation with PBE was carried out for a relaxed structure of Ti6Ga5Cu.

Output
SG: Cmmm, No. 65
ΔE_f in eV per atom: -0.42
Fermi-level density of states in states/eV/cell: 12.43
Volume in Å³ per atom: 15.518
Final energy in eV per atom: -5.97

```
Ti6Ga5Cu
1.0
1.990 -5.954 0.000
1.990 5.954 0.000
0.000 0.000 7.858
Ti Ga Cu
6 5 1
direct
0.000 0.000 0.248
0.000 0.000 0.752
0.333 0.667 0.253
0.333 0.667 0.747
0.667 0.333 0.253
0.667 0.333 0.747
0.160 0.840 0.500
0.167 0.833 0.000
0.500 0.500 0.000
0.833 0.167 0.000
0.840 0.160 0.500
0.500 0.500 0.500
```

=====

12.
A plane-wave DFT calculation with PBE was carried out for a relaxed structure of BiPd4Pb.

Output
SG: C2/m, No. 12
ΔE_f in eV per atom: -0.17
Energy relative to the lowest polymorph listed for this composition in meV per atom: 58
Fermi-level density of states in states/eV/cell: 2.70
Volume in Å³ per atom: 19.876
Final energy in eV per atom: -4.90

```
BiPd4Pb
1.0
2.850 -3.894 0.000
2.850 3.894 0.000
-1.859 0.000 5.372
Bi Pd Pb
1 4 1
direct
0.000 0.000 0.000
0.045 0.448 0.748
0.448 0.045 0.748
0.552 0.955 0.252
0.955 0.552 0.252
0.500 0.500 0.500
```

=====

13.
A plane-wave DFT calculation with PBE was carried out for a relaxed structure of PuZnH8Ir2.

Output
SG: R-3m, No. 166
Fermi-level density of states in states/eV/cell: 14.26
Volume in Å³ per atom: 8.488
Final energy in eV per atom: -5.06

```
PuZnH8Ir2
1.0
2.320 1.339 5.464
-2.320 1.339 5.464
0.000 -2.678 5.464
Pu Zn H Ir
1 1 8 2
direct
0.000 0.000 0.000
0.500 0.500 0.500
0.116 0.555 0.555
0.316 0.316 0.316
0.445 0.445 0.884
0.445 0.884 0.445
0.555 0.116 0.555
0.555 0.555 0.116
0.684 0.684 0.684
0.884 0.445 0.445
0.217 0.217 0.217
0.783 0.783 0.783
```

=====

14.
A plane-wave DFT calculation with PBE was carried out for a relaxed structure of BaLuAu2.

Output
SG: R-3m, No. 166
ΔE_f in eV per atom: -0.70
Energy relative to the lowest polymorph listed for this composition in meV per atom: 49
Fermi-level density of states in states/eV/cell: 2.88
Volume in Å³ per atom: 29.982
Final energy in eV per atom: -3.95

```
BaLuAu2
1.0
2.469 1.426 5.677
-2.469 1.426 5.677
0.000 -2.851 5.677
Ba Lu Au
1 1 2
direct
0.000 0.000 0.000
0.500 0.500 0.500
0.204 0.204 0.204
0.796 0.796 0.796
```

=====

15.
A plane-wave DFT calculation with PBE was carried out for a relaxed structure of Tl3HgB.

Output
SG: Pm-3m, No. 221
ΔE_f in eV per atom: 1.29
Fermi-level density of states in states/eV/cell: 4.28
Volume in Å³ per atom: 38.161
Final energy in eV per atom: -1.52

```
Tl3HgB
1.0
5.757 0.000 0.000
0.000 5.757 0.000
0.000 0.000 5.757
Tl Hg B
3 1 1
direct
0.000 0.000 0.500
0.000 0.500 0.000
0.500 0.000 0.000
0.000 0.000 0.000
0.500 0.500 0.500
```

=====

16.
A plane-wave DFT calculation with PBE was carried out for a relaxed structure of TmScInRu.

Output
SG: F-43m, No. 216
ΔE_f in eV per atom: -0.39
Energy relative to the lowest polymorph listed for this composition in meV per atom: 156
Fermi-level density of states in states/eV/cell: 3.68
Volume in Å³ per atom: 20.654
Final energy in eV per atom: -6.09

```
TmScInRu
1.0
0.000 3.457 3.457
3.457 0.000 3.457
3.457 3.457 0.000
Tm Sc In Ru
1 1 1 1
direct
0.000 0.000 0.000
0.500 0.500 0.500
0.750 0.750 0.750
0.250 0.250 0.250
```

=====

17.
A plane-wave DFT calculation with PBE was carried out for a relaxed structure of BaTeIr2Se.

Output
SG: P4/mmm, No. 123
ΔE_f (raw) in meV per atom: 308
Fermi-level density of states in states/eV/cell: 4.36
Volume in Å³ per atom: 27.097
Final energy in eV per atom: -4.95

```
BaTeIr2Se
1.0
4.695 0.000 0.000
0.000 4.695 0.000
0.000 0.000 6.146
Ba Te Ir Se
1 1 2 1
direct
0.000 0.000 0.000
0.500 0.500 0.000
0.000 0.500 0.500
0.500 0.000 0.500
0.500 0.500 0.500
```

=====

18.
A plane-wave DFT calculation with PBE was carried out for a relaxed structure of LaRu2.

Output
SG: P-3m1, No. 164
ΔE_f in eV per atom: 0.60
Fermi-level density of states in states/eV/cell: 3.69
Volume in Å³ per atom: 18.425
Final energy in eV per atom: -7.23

```
LaRu2
1.0
2.908 0.000 0.000
-1.454 2.518 0.000
0.000 0.000 7.548
La Ru
1 2
direct
0.000 0.000 0.000
0.333 0.667 0.631
0.667 0.333 0.369
```

=====

19.
A plane-wave DFT calculation with PBE was carried out for a relaxed structure of LiBe2AlO4.

Output
SG: I-42m, No. 121
ΔE_f (raw) in meV per atom: -2650
Fermi-level density of states in states/eV/cell: 0.00
Volume in Å³ per atom: 8.415
Final energy in eV per atom: -6.77

```
LiBe2AlO4
1.0
-2.024 2.024 4.110
2.024 -2.024 4.110
2.024 2.024 -4.110
Li Be Al O
1 2 1 4
direct
0.000 0.000 0.000
0.250 0.750 0.500
0.750 0.250 0.500
0.500 0.500 0.000
0.123 0.123 0.525
0.402 0.877 0.000
0.598 0.598 0.475
0.877 0.402 0.000
```

=====

20.
A plane-wave DFT calculation with PBE was carried out for a relaxed structure of LaHo3Ru4.

Output
SG: R-3m, No. 166
ΔE_f in eV per atom: -0.29
Fermi-level density of states in states/eV/cell: 5.73
Volume in Å³ per atom: 20.047
Final energy in eV per atom: -7.26

```
LaHo3Ru4
1.0
2.415 1.394 7.938
-2.415 1.394 7.938
0.000 -2.789 7.938
La Ho Ru
1 3 4
direct
0.000 0.000 0.000
0.247 0.247 0.247
0.500 0.500 0.500
0.753 0.753 0.753
0.126 0.126 0.126
0.376 0.376 0.376
0.624 0.624 0.624
0.874 0.874 0.874
```

=====

21.
A plane-wave DFT calculation with PBE was carried out for a relaxed structure of K4ErTh3Se8.

Output
SG: R-3m, No. 166
ΔE_f (raw) in meV per atom: -1585
Fermi-level density of states in states/eV/cell: 10.15
Volume in Å³ per atom: 30.197
Final energy in eV per atom: -5.28

```
K4ErTh3Se8
1.0
4.221 2.437 7.828
-4.221 2.437 7.828
0.000 -4.874 7.828
K Er Th Se
4 1 3 8
direct
0.000 0.000 0.000
0.000 0.500 0.500
0.500 0.000 0.500
0.500 0.500 0.000
0.500 0.500 0.500
0.000 0.000 0.500
0.000 0.500 0.000
0.500 0.000 0.000
0.240 0.240 0.240
0.245 0.734 0.734
0.266 0.266 0.755
0.266 0.755 0.266
0.734 0.245 0.734
0.734 0.734 0.245
0.755 0.266 0.266
0.760 0.760 0.760
```

=====

22.
A plane-wave DFT calculation with PBE was carried out for a relaxed structure of SmY2Tm3Te6.

Output
SG: C2/m, No. 12
ΔE_f (raw) in meV per atom: -1254
Fermi-level density of states in states/eV/cell: 6.33
Volume in Å³ per atom: 29.059
Final energy in eV per atom: -5.41

```
SmY2Tm3Te6
1.0
9.521 -2.158 0.000
9.521 2.158 0.000
-2.180 0.000 8.487
Sm Y Tm Te
1 2 3 6
direct
0.000 0.000 0.000
0.336 0.336 0.673
0.664 0.664 0.327
0.000 0.000 0.500
0.336 0.336 0.169
0.664 0.664 0.831
0.167 0.167 0.585
0.171 0.171 0.079
0.499 0.499 0.258
0.501 0.501 0.742
0.829 0.829 0.921
0.833 0.833 0.415
```

=====

23.
A plane-wave DFT calculation with PBE was carried out for a relaxed structure of LaTaMo2.

Output
SG: R-3m, No. 166
ΔE_f in eV per atom: 0.54
Energy relative to the lowest polymorph listed for this composition in meV per atom: 253
Fermi-level density of states in states/eV/cell: 5.04
Volume in Å³ per atom: 20.101
Final energy in eV per atom: -9.07

```
LaTaMo2
1.0
1.581 0.913 9.286
-1.581 0.913 9.286
0.000 -1.826 9.286
La Ta Mo
1 1 2
direct
0.000 0.000 0.000
0.500 0.500 0.500
0.239 0.239 0.239
0.761 0.761 0.761
```

=====

24.
A plane-wave DFT calculation with PBE was carried out for a relaxed structure of LiOs2N3.

Output
SG: Cmc2_1, No. 36
ΔE_f (raw) in meV per atom: 291
Fermi-level density of states in states/eV/cell: 5.38
Volume in Å³ per atom: 11.826
Final energy in eV per atom: -7.93

```
LiOs2N3
1.0
4.757 -2.934 0.000
4.757 2.934 0.000
0.000 0.000 5.084
Li Os N
2 4 6
direct
0.179 0.821 0.500
0.821 0.179 0.000
0.106 0.528 0.017
0.472 0.894 0.017
0.528 0.106 0.517
0.894 0.472 0.517
0.173 0.827 0.080
0.234 0.446 0.644
0.446 0.234 0.144
0.554 0.766 0.644
0.766 0.554 0.144
0.827 0.173 0.580
```